# 1
Material: AcNd3Co
Method: DFT, PBE
State: optimized geometry

a b c (Å): 7.6847 7.6847 6.4042
angles (deg): 91.40 91.40 62.11
Sites, in units of the cell vectors:
1 Ac 0.0832 0.0832 0.2592
2 Ac 0.9168 0.9168 0.7408
3 Nd 0.0878 0.5821 0.2425
4 Nd 0.4179 0.9122 0.7575
5 Nd 0.4191 0.4191 0.7480
6 Nd 0.5809 0.5809 0.2520
7 Nd 0.5821 0.0878 0.2425
8 Nd 0.9122 0.4179 0.7575
9 Co 0.2523 0.2523 0.9943
10 Co 0.7477 0.7477 0.0057

Summary:
Excess energy over the best structure of this formula in the dataset (meV per atom): 3
Formation energy (eV/atom): 0.005


# 2
Material: Sm2EuRu
Method: DFT, PBE
State: optimized geometry

a b c (Å): 3.4991 3.4991 9.7145
angles (deg): 90.00 90.00 90.00
Sites, in units of the cell vectors:
1 Sm 0.0000 0.0000 0.1731
2 Sm 0.0000 0.0000 0.8269
3 Eu 0.5000 0.5000 0.5000
4 Ru 0.5000 0.5000 0.0000

Summary:
Excess energy over the best structure of this formula in the dataset (meV per atom): 0
Formation energy (eV/atom): -0.125


# 3
Material: Er6RhO12
Method: DFT, PBE
State: optimized geometry

a b c (Å): 6.4109 6.4109 6.4109
angles (deg): 98.61 98.61 98.61
Sites, in units of the cell vectors:
1 Er 0.1119 0.6434 0.8133
2 Er 0.1867 0.8881 0.3566
3 Er 0.3566 0.1867 0.8881
4 Er 0.6434 0.8133 0.1119
5 Er 0.8133 0.1119 0.6434
6 Er 0.8881 0.3566 0.1867
7 Rh 0.5000 0.5000 0.5000
8 O 0.0664 0.3224 0.9097
9 O 0.0903 0.9336 0.6776
10 O 0.1974 0.5375 0.4285
11 O 0.3224 0.9097 0.0664
12 O 0.4285 0.1974 0.5375
13 O 0.4625 0.5715 0.8026
14 O 0.5375 0.4285 0.1974
15 O 0.5715 0.8026 0.4625
16 O 0.6776 0.0903 0.9336
17 O 0.8026 0.4625 0.5715
18 O 0.9097 0.0664 0.3224
19 O 0.9336 0.6776 0.0903

Summary:
E_form (uncorrected) (eV/atom): -2.964


# 4
Material: In3SbAu6
Method: DFT, PBE
State: optimized geometry

a b c (Å): 7.6176 7.6176 9.0652
angles (deg): 90.00 90.00 124.01
Sites, in units of the cell vectors:
1 In 0.0790 0.9210 0.5000
2 In 0.1666 0.3629 0.3376
3 In 0.3629 0.1666 0.8376
4 In 0.6371 0.8334 0.3376
5 In 0.8334 0.6371 0.8376
6 In 0.9210 0.0790 0.0000
7 Sb 0.3149 0.6851 0.7601
8 Sb 0.6851 0.3149 0.2601
9 Au 0.0601 0.5169 0.0405
10 Au 0.1367 0.2704 0.6537
11 Au 0.2323 0.7677 0.3024
12 Au 0.2704 0.1367 0.1537
13 Au 0.4552 0.5448 0.0108
14 Au 0.4831 0.9399 0.0405
15 Au 0.5169 0.0601 0.5405
16 Au 0.5448 0.4552 0.5108
17 Au 0.7296 0.8633 0.6537
18 Au 0.7677 0.2323 0.8024
19 Au 0.8633 0.7296 0.1537
20 Au 0.9399 0.4831 0.5405

Summary:
E_form (uncorrected) (eV/atom): -0.071


# 5
Material: MnAlPt
Method: DFT, PBE
State: optimized geometry

a b c (Å): 5.6737 5.6737 5.6737
angles (deg): 151.16 151.16 41.25
Sites, in units of the cell vectors:
1 Mn 0.0000 0.0000 0.0000
2 Al 0.3402 0.3402 0.0000
3 Pt 0.6780 0.6780 0.0000

Summary:
Formation energy (eV/atom): -0.516


# 6
Material: TcRh2Cl
Method: DFT, PBE
State: optimized geometry

a b c (Å): 4.4265 4.4265 4.4265
angles (deg): 60.00 60.00 60.00
Sites, in units of the cell vectors:
1 Tc 0.0000 0.0000 0.0000
2 Rh 0.2500 0.2500 0.2500
3 Rh 0.7500 0.7500 0.7500
4 Cl 0.5000 0.5000 0.5000

Summary:
E_form (uncorrected) (eV/atom): 0.798
Excess energy over the best structure of this formula in the dataset (meV per atom): 626